(1)
# Li5OsO8 GGA-PBE relaxed
# E_form (uncorrected) = -1.217 eV per atom
data_Li5OsO8
_symmetry_space_group_name_H-M 'I -4 m 2'
_symmetry_Int_Tables_number 119
_symmetry_space_group_name_Hall 'I -4 -2'
_cell_length_a 6.4688
_cell_length_b 6.4688
_cell_length_c 6.4519
_cell_angle_alpha 90.00
_cell_angle_beta 90.00
_cell_angle_gamma 90.00
loop_
_atom_site_label
_atom_site_type_symbol
_atom_site_fract_x
_atom_site_fract_y
_atom_site_fract_z
Li1 Li 0.0000 0.0000 0.0000
Li2 Li 0.0000 0.2135 0.3727
Os1 Os 0.0000 0.5000 0.7500
O1 O 0.0000 0.2070 0.6937
O2 O 0.0000 0.3858 0.0529



(2)
# LiOsO2 GGA-PBE relaxed
# E_form (uncorrected) = -0.510 eV per atom
data_LiOsO2
_symmetry_space_group_name_H-M 'F m -3 m'
_symmetry_Int_Tables_number 225
_symmetry_space_group_name_Hall '-F 4 2 3'
_cell_length_a 5.1996
_cell_length_b 5.1996
_cell_length_c 5.1996
_cell_angle_alpha 90.00
_cell_angle_beta 90.00
_cell_angle_gamma 90.00
loop_
_atom_site_label
_atom_site_type_symbol
_atom_site_fract_x
_atom_site_fract_y
_atom_site_fract_z
Li1 Li 0.0000 0.0000 0.0000
Os1 Os 0.0000 0.0000 0.5000
O1 O 0.2500 0.2500 0.2500



(3)
# Li2OsO2 GGA-PBE relaxed
# E_form (uncorrected) = -0.177 eV per atom
data_Li2OsO2
_symmetry_space_group_name_H-M 'I 4/m m m'
_symmetry_Int_Tables_number 139
_symmetry_space_group_name_Hall '-I 4 2'
_cell_length_a 3.6520
_cell_length_b 3.6520
_cell_length_c 6.7373
_cell_angle_alpha 90.00
_cell_angle_beta 90.00
_cell_angle_gamma 90.00
loop_
_atom_site_label
_atom_site_type_symbol
_atom_site_fract_x
_atom_site_fract_y
_atom_site_fract_z
Li1 Li 0.0000 0.0000 0.1540
Os1 Os 0.0000 0.0000 0.5000
O1 O 0.0000 0.5000 0.2500



(4)
# Li2OsO4 GGA-PBE relaxed
# E_form (uncorrected) = -1.287 eV per atom
data_Li2OsO4
_symmetry_space_group_name_H-M 'I 4/m m m'
_symmetry_Int_Tables_number 139
_symmetry_space_group_name_Hall '-I 4 2'
_cell_length_a 3.8730
_cell_length_b 3.8730
_cell_length_c 10.6452
_cell_angle_alpha 90.00
_cell_angle_beta 90.00
_cell_angle_gamma 90.00
loop_
_atom_site_label
_atom_site_type_symbol
_atom_site_fract_x
_atom_site_fract_y
_atom_site_fract_z
Li1 Li 0.0000 0.0000 0.1492
Os1 Os 0.0000 0.0000 0.5000
O1 O 0.0000 0.0000 0.3253
O2 O 0.0000 0.5000 0.0000



(5)
# Li8OsO6 GGA-PBE relaxed
# E_form (uncorrected) = -1.567 eV per atom
data_Li8OsO6
_symmetry_space_group_name_H-M 'P 63 c m'
_symmetry_Int_Tables_number 185
_symmetry_space_group_name_Hall 'P 6c -2'
_cell_length_a 5.6636
_cell_length_b 5.6636
_cell_length_c 10.7195
_cell_angle_alpha 90.00
_cell_angle_beta 90.00
_cell_angle_gamma 120.00
loop_
_atom_site_label
_atom_site_type_symbol
_atom_site_fract_x
_atom_site_fract_y
_atom_site_fract_z
Li1 Li 0.0000 0.3181 0.0000
Li2 Li 0.0000 0.3749 0.3693
Li3 Li 0.3333 0.6667 0.1401
Os1 Os 0.0000 0.0000 0.2014
O1 O 0.0000 0.0000 0.4058
O2 O 0.0000 0.3308 0.1892
O3 O 0.3333 0.6667 0.4539



(6)
# LiOsO4 GGA-PBE relaxed
# E_form (uncorrected) = -1.220 eV per atom
data_LiOsO4
_symmetry_space_group_name_H-M 'P b c n'
_symmetry_Int_Tables_number 60
_symmetry_space_group_name_Hall '-P 2n 2ab'
_cell_length_a 4.5930
_cell_length_b 5.5383
_cell_length_c 10.4394
_cell_angle_alpha 90.00
_cell_angle_beta 90.00
_cell_angle_gamma 90.00
loop_
_atom_site_label
_atom_site_type_symbol
_atom_site_fract_x
_atom_site_fract_y
_atom_site_fract_z
Li1 Li 0.0000 0.1901 0.2500
Os1 Os 0.0000 0.5000 0.0000
O1 O 0.2058 0.4953 0.6455
O2 O 0.2330 0.2395 0.4257



(7)
# LiOs3O12 GGA-PBE relaxed
# E_form (uncorrected) = -1.072 eV per atom
data_LiOs3O12
_symmetry_space_group_name_H-M 'R 3 c'
_symmetry_Int_Tables_number 161
_symmetry_space_group_name_Hall 'R 3 -2"c'
_cell_length_a 8.8930
_cell_length_b 8.8930
_cell_length_c 28.2943
_cell_angle_alpha 90.00
_cell_angle_beta 90.00
_cell_angle_gamma 120.00
loop_
_atom_site_label
_atom_site_type_symbol
_atom_site_fract_x
_atom_site_fract_y
_atom_site_fract_z
Li1 Li 0.0000 0.0000 0.0000
Os1 Os 0.0047 0.3221 0.4121
O1 O 0.0068 0.5009 0.5435
O2 O 0.0568 0.2146 0.0442
O3 O 0.0812 0.5224 0.4386
O4 O 0.1710 0.4505 0.1219



(8)
# Li3OsO GGA-PBE relaxed
# E_form (uncorrected) = 1.198 eV per atom
data_Li3OsO
_symmetry_space_group_name_H-M 'P m -3 m'
_symmetry_Int_Tables_number 221
_symmetry_space_group_name_Hall '-P 4 2 3'
_cell_length_a 4.8506
_cell_length_b 4.8506
_cell_length_c 4.8506
_cell_angle_alpha 90.00
_cell_angle_beta 90.00
_cell_angle_gamma 90.00
loop_
_atom_site_label
_atom_site_type_symbol
_atom_site_fract_x
_atom_site_fract_y
_atom_site_fract_z
Li1 Li 0.0000 0.0000 0.5000
Os1 Os 0.0000 0.0000 0.0000
O1 O 0.5000 0.5000 0.5000



(9)
# Li4OsO5 GGA-PBE relaxed
# E_form (uncorrected) = -1.642 eV per atom
data_Li4OsO5
_symmetry_space_group_name_H-M 'I 4/m'
_symmetry_Int_Tables_number 87
_symmetry_space_group_name_Hall '-I 4'
_cell_length_a 6.8468
_cell_length_b 6.8468
_cell_length_c 3.8960
_cell_angle_alpha 90.00
_cell_angle_beta 90.00
_cell_angle_gamma 90.00
loop_
_atom_site_label
_atom_site_type_symbol
_atom_site_fract_x
_atom_site_fract_y
_atom_site_fract_z
Li1 Li 0.1156 0.3153 0.0000
Os1 Os 0.0000 0.0000 0.5000
O1 O 0.0000 0.0000 0.0000
O2 O 0.0862 0.2694 0.5000



(10)
# Li2OsO2 GGA-PBE relaxed
# E_form (uncorrected) = -0.231 eV per atom
data_Li2OsO2
_symmetry_space_group_name_H-M 'P 4/m b m'
_symmetry_Int_Tables_number 127
_symmetry_space_group_name_Hall '-P 4 2ab'
_cell_length_a 5.9675
_cell_length_b 5.9675
_cell_length_c 2.5668
_cell_angle_alpha 90.00
_cell_angle_beta 90.00
_cell_angle_gamma 90.00
loop_
_atom_site_label
_atom_site_type_symbol
_atom_site_fract_x
_atom_site_fract_y
_atom_site_fract_z
Li1 Li 0.1208 0.3792 0.0000
Os1 Os 0.0000 0.0000 0.0000
O1 O 0.1922 0.6922 0.5000



(11)
# LiOsO3 GGA-PBE relaxed
# E_form (uncorrected) = -0.974 eV per atom
data_LiOsO3
_symmetry_space_group_name_H-M 'P 1'
_symmetry_Int_Tables_number 1
_symmetry_space_group_name_Hall 'P 1'
_cell_length_a 2.6415
_cell_length_b 5.4274
_cell_length_c 5.4329
_cell_angle_alpha 62.37
_cell_angle_beta 89.94
_cell_angle_gamma 89.94
loop_
_atom_site_label
_atom_site_type_symbol
_atom_site_fract_x
_atom_site_fract_y
_atom_site_fract_z
Li1 Li 0.0000 0.0000 0.0000
Os1 Os 0.0014 0.3428 0.3436
O1 O 0.5011 0.1717 0.6548
O2 O 0.5010 0.6537 0.1689
O3 O 0.5020 0.1808 0.1859



(12)
# Li2OsO3 GGA-PBE relaxed
# E_form (uncorrected) = -1.325 eV per atom
data_Li2OsO3
_symmetry_space_group_name_H-M 'P n m a'
_symmetry_Int_Tables_number 62
_symmetry_space_group_name_Hall '-P 2ac 2n'
_cell_length_a 5.9347
_cell_length_b 4.1693
_cell_length_c 8.8527
_cell_angle_alpha 90.00
_cell_angle_beta 90.00
_cell_angle_gamma 90.00
loop_
_atom_site_label
_atom_site_type_symbol
_atom_site_fract_x
_atom_site_fract_y
_atom_site_fract_z
Li1 Li 0.1155 0.2500 0.2484
Li2 Li 0.1188 0.2500 0.5748
Os1 Os 0.1420 0.2500 0.9036
O1 O 0.1062 0.7500 0.2515
O2 O 0.1070 0.7500 0.9302
O3 O 0.1466 0.7500 0.5704



Number 1: electronic total energy -5.536 eV per atom. Number 2: electronic total energy -6.275 eV per atom. Number 3: electronic total energy -5.171 eV per atom. Number 4: electronic total energy -6.271 eV per atom. Number 5: electronic total energy -5.320 eV per atom. Number 6: electronic total energy -6.716 eV per atom. Number 7: electronic total energy -7.016 eV per atom. Number 8: electronic total energy -3.188 eV per atom. Number 9: electronic total energy -6.009 eV per atom. Number 10: electronic total energy -5.226 eV per atom. Number 11: electronic total energy -6.578 eV per atom. Number 12: electronic total energy -6.314 eV per atom.